Rb2DyTlI6: optimized geometry, PBE-GGA.

The total magnetization is 0.00 Bohr magnetons per cell. Its uncorrected energy is -3.12 eV per atom. The calculation puts the uncorrected formation energy at -12.95 eV per formula unit.

abc: 8.8852 8.8849 8.9998
angles: 60.41 60.40 59.98
Positions (direct):
I 0.4527 0.6545 0.7841
Dy 0.3228 0.3227 0.0317
I 0.6547 0.1085 0.7843
Rb 0.5382 0.5380 0.3857
Rb 0.0283 0.0284 0.9152
I 0.5566 0.1856 0.2603
I 0.1086 0.4527 0.7842
Tl 0.8169 0.8169 0.5493
I 0.1856 0.9975 0.2603
I 0.9974 0.5568 0.2602